# 1
The following is a meta-GGA SCAN calculation of a crystal of Mg5Sc relaxed with PBEsol, from Alexandria via LeMat-Bulk.

Values from the calculation:
* space group: P4/mmm, No. 123
* size of the total moment: 0.109 μB/atom
* energy of formation: -0.02 eV per atom

Structure (extended XYZ):
```
6
Lattice="3.224 0.000 0.000 0.000 3.224 0.000 0.000 0.000 13.034" Properties=species:S:1:pos:R:3 pbc="T T T"
Mg 0.000 0.000 0.000
Mg 0.000 0.000 4.311
Mg 0.000 0.000 8.723
Mg 1.612 1.612 2.151
Mg 1.612 1.612 10.883
Sc 1.612 1.612 6.517
```



# 2
The following is a meta-GGA SCAN calculation of a crystal of Sr2MgTeO6 relaxed with PBEsol, from Alexandria via LeMat-Bulk.

Values from the calculation:
* space group: C2/m, No. 12
* size of the total moment: 0.000 μB/atom
* final energy: -14.994 eV per atom

Structure (extended XYZ):
```
10
Lattice="4.846 -2.796 0.000 4.846 2.796 0.000 -3.271 0.000 4.595" Properties=species:S:1:pos:R:3 pbc="T T T"
Sr 1.615 0.000 1.135
Sr 4.807 0.000 3.460
Mg -1.635 0.000 2.297
Te 4.846 0.000 0.000
O 3.877 1.357 0.972
O 0.204 0.000 3.238
O 2.545 1.357 3.622
O 3.877 -1.357 0.972
O 6.219 0.000 1.357
O 2.545 -1.357 3.622
```